# 1
Compound: Eu3MoO7
Source: Alexandria
Functional: PBE+U
Structure: optimized geometry

Geometry as extended XYZ:
```
44
Lattice="-3.147 -4.990 -4.754 -0.435 -5.183 5.729 -9.880 3.731 2.625" Properties=species:S:1:pos:R:3 pbc="T T T"
Eu -4.133 -1.723 -1.817
Eu -10.908 -7.212 3.042
Eu -4.176 -4.049 1.301
Eu -7.706 0.099 4.674
Eu -5.539 -0.578 1.697
Eu -10.924 -1.643 5.495
Eu -2.986 -7.757 0.621
Eu -7.475 -2.907 -0.613
Eu -0.959 -2.300 0.476
Eu -6.348 -3.378 4.284
Eu -7.564 -6.025 1.830
Eu -12.053 -1.183 0.611
Mo -2.488 0.810 0.757
Mo -9.398 -4.759 5.219
Mo -5.834 -6.738 -1.100
Mo -9.203 -2.198 2.324
O -2.101 -3.220 2.487
O -7.395 -1.631 2.855
O -6.232 -2.827 -2.697
O -11.196 -5.207 4.556
O -5.408 -2.271 0.171
O -9.117 -0.682 6.507
O -3.116 -6.060 2.142
O -9.283 -3.873 -1.619
O -2.774 -0.700 1.784
O -9.093 -3.256 4.187
O -5.750 -7.623 0.520
O -9.307 -1.306 0.709
O -7.221 0.441 0.237
O -2.131 -5.347 5.066
O -10.995 -2.810 2.235
O -6.577 -5.169 -0.337
O -4.489 -2.325 3.106
O -9.773 -0.726 3.502
O -3.842 -3.713 -3.327
O -8.819 -6.120 3.919
O -9.730 1.416 0.912
O -4.661 -4.419 5.730
O -8.485 -3.768 1.542
O -4.048 -6.114 -0.983
O -2.755 -3.265 -0.533
O -6.469 -1.689 5.802
O -5.769 -5.060 2.840
O -11.931 -2.871 -0.908
```

Calculated values
Theoretical density   6.9 g/cm3
Crystal system   orthorhombic
Energy above the most stable polymorph in this dataset   0.0040 eV per atom

---

# 2
Compound: Eu3MoO7
Source: Alexandria
Functional: PBE+U
Structure: optimized geometry

Geometry as extended XYZ:
```
22
Lattice="-3.869 0.748 5.331 -3.221 -3.190 -4.836 2.504 -6.712 2.759" Properties=species:S:1:pos:R:3 pbc="T T T"
Eu -1.282 -3.295 -1.512
Eu -3.303 -5.859 4.766
Eu -1.581 -1.478 3.179
Eu -3.005 -7.676 0.075
Eu 0.000 0.000 0.000
Eu 1.252 -3.356 1.380
Mo -3.545 -1.221 0.247
Mo -2.293 -4.577 1.627
O -2.478 -2.747 0.906
O -2.107 -6.407 2.347
O -3.317 -1.511 4.676
O -1.268 -7.643 -1.422
O -2.842 -4.398 -2.780
O -1.743 -4.756 6.033
O -4.819 -1.404 1.688
O 0.234 -7.750 1.566
O -0.847 -4.852 0.375
O -3.578 -5.276 0.365
O -3.738 -4.302 2.879
O -1.007 -3.878 2.889
O 0.074 -6.776 4.080
O -4.659 -2.378 -0.827
```

Calculated values
Theoretical density   7.0 g/cm3
Crystal system   orthorhombic
Energy above the most stable polymorph in this dataset   0.0000 eV per atom

---

# 3
Compound: EuMoO5
Source: Alexandria
Functional: PBE+U
Structure: optimized geometry

Geometry as extended XYZ:
```
28
Lattice="13.148 0.000 0.000 0.000 5.539 0.022 0.000 2.965 6.480" Properties=species:S:1:pos:R:3 pbc="T T T"
Eu 12.261 5.888 4.701
Eu 0.888 2.617 1.801
Eu 5.687 4.099 5.041
Eu 7.462 4.405 1.461
Mo 8.398 7.114 4.078
Mo 4.751 1.390 2.424
Mo 1.824 2.873 5.664
Mo 11.325 5.632 0.838
O 7.187 5.448 6.454
O 5.961 3.057 0.048
O 0.613 4.540 3.288
O 12.535 3.965 3.214
O 0.989 7.478 4.361
O 12.159 1.027 2.141
O 7.563 2.509 5.381
O 5.585 5.995 1.121
O 7.433 5.628 3.591
O 5.715 2.877 2.911
O 0.859 4.360 6.151
O 12.289 4.145 0.351
O 10.016 6.646 4.649
O 3.132 1.859 1.853
O 3.442 3.342 5.092
O 9.706 5.163 1.410
O 4.542 5.881 3.858
O 8.606 2.623 2.644
O 11.116 4.106 5.884
O 2.032 4.399 0.618
```

Calculated values
Theoretical density   4.6 g/cm3
Crystal system   monoclinic
E_tot   -7.984 eV per atom

---

# 4
Compound: Eu3Mo5O12
Source: Alexandria
Functional: PBE+U
Structure: optimized geometry

Geometry as extended XYZ:
```
80
Lattice="11.540 0.000 0.000 -3.847 10.880 0.000 -3.847 -5.440 9.422" Properties=species:S:1:pos:R:3 pbc="T T T"
Eu 6.731 3.400 1.178
Eu 6.731 7.480 1.178
Eu -0.962 4.760 5.889
Eu 0.962 -0.680 3.533
Eu 8.655 0.000 2.355
Eu 0.962 5.440 2.355
Eu 2.885 0.000 7.066
Eu -4.808 5.440 7.066
Eu 2.885 6.120 5.889
Eu 4.808 0.680 3.533
Eu -2.885 -2.040 8.244
Eu -2.885 2.040 8.244
Mo -0.962 2.720 2.355
Mo -1.923 5.440 0.000
Mo 0.000 0.000 0.000
Mo 2.885 2.040 1.178
Mo 3.847 -2.720 4.711
Mo 3.847 5.440 0.000
Mo -2.885 6.120 3.533
Mo 4.808 -3.400 8.244
Mo 4.808 4.760 3.533
Mo 0.962 -2.720 7.066
Mo 2.885 8.160 2.355
Mo 1.923 2.720 4.711
Mo 5.770 0.000 0.000
Mo -1.923 -2.720 4.711
Mo -0.962 0.680 5.889
Mo -0.962 8.840 1.178
Mo -3.847 2.720 4.711
Mo 6.731 -0.680 5.889
Mo 0.962 3.400 8.244
Mo 4.808 2.720 7.066
O 7.553 1.213 0.248
O 0.140 3.541 3.785
O 8.657 2.478 2.781
O 4.806 1.551 1.174
O 1.374 3.977 6.393
O 8.248 5.538 1.682
O -0.964 6.368 3.955
O -2.883 9.329 1.174
O 0.549 6.902 6.393
O 5.215 5.341 1.682
O 5.910 3.111 3.537
O 5.910 9.667 0.248
O -3.298 4.805 4.959
O 2.478 3.934 0.756
O -3.987 7.768 3.537
O 2.063 -1.899 5.637
O -0.549 0.828 1.930
O 2.478 6.847 0.926
O 4.806 8.401 2.781
O -0.555 4.032 0.926
O -2.472 6.268 7.492
O 2.887 4.512 3.955
O 5.221 6.074 4.959
O 4.401 -1.506 8.666
O 0.960 0.928 5.467
O -1.374 -0.635 4.463
O -0.555 6.946 0.756
O -0.960 -2.961 6.641
O 6.319 -0.828 1.930
O 4.401 1.407 8.496
O 1.368 -1.407 8.496
O 1.783 7.339 3.785
O 4.395 4.612 7.492
O 7.833 -2.328 5.885
O 7.144 0.635 4.463
O -2.063 -4.227 9.174
O 1.368 1.506 8.666
O 3.298 -1.463 3.029
O -1.368 0.098 7.740
O -2.063 2.328 5.885
O 6.729 -3.889 8.248
O 4.810 -0.928 5.467
O -0.960 3.889 8.248
O -4.401 -0.098 7.740
O 2.472 1.463 3.029
O -4.810 2.961 6.641
O 3.706 1.899 5.637
O -3.706 4.227 9.174
```

Calculated values
Theoretical density   6.3 g/cm3
Crystal system   cubic
E_tot   -8.297 eV per atom